(1)
CaSe5 | PBE | optimized geometry

Calculated values
formation energy (no corrections) = -0.06 eV/atom
uncorrected energy = -3.3006 eV per atom

Lattice parameters (Å, degrees): 5.7863 5.7863 5.7863 60.00 60.00 60.00
Last column: nearest neighbours and their distance in Å.
Atoms (fractional coordinates):
1 Ca 0.0000 0.0000 0.0000  16 Se 3.39-3.54
2 Se 0.2500 0.2500 0.2500  12 Se 3.39, 4 Ca 3.54
3 Se 0.6245 0.6245 0.6245  6 Se 2.88-2.90
4 Se 0.6245 0.6245 0.1264  6 Se 2.88-2.90
5 Se 0.1264 0.6245 0.6245  6 Se 2.88-2.90
6 Se 0.6245 0.1264 0.6245  6 Se 2.88-2.90


(2)
La2TlTe | PBE | optimized geometry

Calculated values
formation energy (no corrections) = -0.89 eV/atom
offset from the most stable computed form = 115 meV per atom
uncorrected energy = -4.7306 eV per atom

Lattice parameters (Å, degrees): 6.5129 6.5129 5.2271 89.95 89.95 36.46
Last column: nearest neighbours and their distance in Å.
Atoms (fractional coordinates):
1 La 0.0021 0.0021 0.1258  1 Tl 3.19, 4 Te 3.32
2 La 0.7520 0.7520 0.6243  3 Te 3.29-3.54, 4 Tl 3.31-3.32
3 Te 0.4864 0.4864 0.6257  7 La 3.29-3.54
4 Tl 0.2596 0.2596 0.1242  5 La 3.19-3.32


(3)
MnGa3Fe2 | PBE | optimized geometry

Calculated values
formation energy = -0.53 eV per formula unit
uncorrected energy = -5.9511 eV per atom

Lattice parameters (Å, degrees): 3.6869 3.7358 5.9397 108.33 90.00 90.00
Last column: nearest neighbours and their distance in Å.
Atoms (fractional coordinates):
1 Mn 0.0000 0.0000 0.0000  8 Ga 2.62-2.64, 4 Fe 2.67
2 Ga 0.5000 0.1675 0.3350  6 Fe 2.60-2.62, 4 Ga 2.64-2.66, 2 Mn 2.64
3 Ga 0.5000 0.5000 0.0000  4 Mn 2.62, 4 Fe 2.65, 4 Ga 2.66
4 Ga 0.5000 0.8325 0.6650  6 Fe 2.60-2.62, 4 Ga 2.64-2.66, 2 Mn 2.64
5 Fe 0.0000 0.6693 0.3387  8 Ga 2.60-2.65, 2 Fe 2.61, 2 Mn 2.67
6 Fe 0.0000 0.3307 0.6613  8 Ga 2.60-2.65, 2 Fe 2.61, 2 Mn 2.67